Compound: CuSi2Ru
Source: Alexandria via LeMat-Bulk
Functional: PBE
Structure: relaxed

Calculated values
Distance to the lowest polymorph of the same formula: 170 meV per atom
Energy: -6.167 eV per atom

POSCAR file:
```
CuSi2Ru
1.0
-1.914 1.914 3.498
1.914 -1.914 3.498
1.914 1.914 -3.498
Cu Si Ru
1 2 1
Cartesian
0.000 0.000 0.000
1.914 0.000 1.749
0.000 1.914 1.749
0.000 0.000 3.498
```


Compound: Ti2VRe3
Source: Alexandria via LeMat-Bulk
Functional: PBE
Structure: relaxed

Calculated values
Energy of formation from the pure elements: -0.403 eV per atom
Energy: -10.778 eV per atom

POSCAR file:
```
Ti2VRe3
1.0
3.090 0.000 0.000
0.000 3.090 0.000
0.000 0.000 9.282
Ti V Re
2 1 3
Cartesian
0.000 0.000 1.556
0.000 0.000 7.726
0.000 0.000 4.641
1.545 1.545 0.000
1.545 1.545 3.157
1.545 1.545 6.125
```


Compound: SmEr2Ni9
Source: Alexandria via LeMat-Bulk
Functional: PBE
Structure: relaxed

Calculated values
Energy of formation from the pure elements: -0.416 eV per atom
Energy: -5.905 eV per atom

POSCAR file:
```
SmEr2Ni9
1.0
2.487 1.436 8.080
-2.487 1.436 8.080
0.000 -2.872 8.080
Sm Er Ni
1 2 9
Cartesian
0.000 0.000 0.000
0.000 0.000 3.386
0.000 0.000 20.852
-1.249 -0.721 10.092
0.000 0.000 8.074
0.000 -1.442 14.146
-1.249 0.721 14.146
0.000 0.000 12.119
1.249 -0.721 10.092
0.000 1.442 10.092
0.000 0.000 16.165
1.249 0.721 14.146
```